1.
A relaxed structure of PmSmAg, computed with PBE.

Geometry as POSCAR:
```
PmSmAg
1.0
5.131 0.000 0.000
-2.565 4.443 0.000
0.000 0.000 3.719
Pm Sm Ag
1 1 1
direct
0.000 0.000 0.000
0.667 0.333 0.432
0.333 0.667 0.708
```

Summary:
**ΔE to the lowest computed polymorph**: 0.143 eV/atom
**ΔH_f (0 K)**: -0.020 eV per atom
**V**: 28.26 Å³ per atom
**Space group**: No. 156

***

2.
A relaxed structure of Ce5Si3Hg, computed with PBE.

Geometry as POSCAR:
```
Ce5Si3Hg
1.0
8.995 0.000 0.000
-4.498 7.790 0.000
0.000 0.000 6.248
Ce Si Hg
10 6 2
direct
0.000 0.308 0.250
0.000 0.692 0.750
0.308 0.000 0.250
0.308 0.308 0.750
0.333 0.667 0.000
0.333 0.667 0.500
0.667 0.333 0.000
0.667 0.333 0.500
0.692 0.000 0.750
0.692 0.692 0.250
0.000 0.360 0.750
0.000 0.640 0.250
0.360 0.000 0.750
0.360 0.360 0.250
0.640 0.000 0.250
0.640 0.640 0.750
0.000 0.000 0.000
0.000 0.000 0.500
```

Summary:
**E_form (uncorrected)**: -483 meV per atom
**V**: 24.32 Å³ per atom
**Space group**: No. 193

***

3.
A relaxed structure of YBeOs2, computed with PBE.

Geometry as POSCAR:
```
YBeOs2
1.0
1.452 0.839 8.760
-1.452 0.839 8.760
0.000 -1.677 8.760
Y Be Os
1 1 2
direct
0.000 0.000 0.000
0.757 0.757 0.757
0.233 0.233 0.233
0.489 0.489 0.489
```

Summary:
**ΔH_f (0 K)**: 0.545 eV per atom
**V**: 16.00 Å³ per atom
**Space group**: No. 160

***

4.
A relaxed structure of As2PbSeF, computed with PBE.

Geometry as POSCAR:
```
As2PbSeF
1.0
4.472 0.000 0.000
0.000 4.472 0.000
0.000 0.000 5.546
As Pb Se F
2 1 1 1
direct
0.000 0.500 0.000
0.500 0.000 0.000
0.000 0.000 0.500
0.500 0.500 0.500
0.500 0.500 0.000
```

Summary:
**E_form (uncorrected)**: 41 meV per atom
**ΔE to the lowest computed polymorph**: 0.000 eV/atom
**V**: 22.18 Å³ per atom
**Space group**: No. 123

***

DOS(E_F) in states/eV per atom, matching the order above: 1.055; 1.907; 1.101; 0.497
M_tot in μB per formula unit, matching the order above: 0.000; 5.739; 0.000; 0.000
Calculated total energy in eV per atom, matching the order above: -4.127; -5.621; -7.617; -3.631